No. 1
Here is a geometry-optimized K2BiN structure from Alexandria via LeMat-Bulk. Energies are from PBE.

The structure in CIF format:
```
data_K2BiN
_chemical_formula_sum 'K8 Bi4 N4'
_symmetry_space_group_name_H-M 'F m -3 m'
_symmetry_Int_Tables_number 225
_symmetry_space_group_name_Hall '-F 4 2 3'
_cell_length_a 7.829
_cell_length_b 7.829
_cell_length_c 7.829
_cell_angle_alpha 90.00
_cell_angle_beta 90.00
_cell_angle_gamma 90.00
loop_
_atom_site_label
_atom_site_fract_x
_atom_site_fract_y
_atom_site_fract_z
_atom_site_occupancy
K1 0.250 0.250 0.250 1
Bi1 0.000 0.000 0.000 1
N1 0.000 0.000 0.500 1
```

Calculated values
magnetization	0.006	μB per cell
Fermi-level density of states	1.170	states/eV/atom
relative energy among the computed polymorphs	65.52	kJ per mole of atoms
final energy	-2.569	eV per atom

---

No. 2
Here is a geometry-optimized KBiN2 structure from Alexandria via LeMat-Bulk. Energies are from PBE.

The structure in CIF format:
```
data_KBiN2
_chemical_formula_sum 'K2 Bi2 N4'
_symmetry_space_group_name_H-M 'P -1'
_symmetry_Int_Tables_number 2
_cell_length_a 5.074
_cell_length_b 6.044
_cell_length_c 8.283
_cell_angle_alpha 89.81
_cell_angle_beta 78.97
_cell_angle_gamma 88.54
loop_
_symmetry_equiv_pos_as_xyz
'x,y,z'
'-x,-y,-z'
loop_
_atom_site_label
_atom_site_fract_x
_atom_site_fract_y
_atom_site_fract_z
_atom_site_occupancy
K1 0.082 0.251 0.226 1
Bi1 0.500 0.000 0.500 1
Bi2 0.500 0.500 0.500 1
N1 0.269 0.750 0.031 1
N2 0.451 0.749 0.093 1
```

Calculated values
magnetization	0.000	μB per cell
Fermi-level density of states	0.453	states/eV/atom
final energy	-5.446	eV per atom

---

No. 3
Here is a geometry-optimized KBi2N structure from Alexandria via LeMat-Bulk. Energies are from PBE.

The structure in CIF format:
```
data_KBi2N
_chemical_formula_sum 'K4 Bi8 N4'
_symmetry_space_group_name_H-M 'I -4 2 d'
_symmetry_Int_Tables_number 122
_symmetry_space_group_name_Hall 'I -4 2bw'
_cell_length_a 7.774
_cell_length_b 7.774
_cell_length_c 8.090
_cell_angle_alpha 90.00
_cell_angle_beta 90.00
_cell_angle_gamma 90.00
loop_
_atom_site_label
_atom_site_fract_x
_atom_site_fract_y
_atom_site_fract_z
_atom_site_occupancy
K1 0.000 0.000 0.000 1
Bi1 0.117 0.750 0.625 1
N1 0.000 0.000 0.500 1
```

Calculated values
magnetization	0.000	μB per cell
Fermi-level density of states	0.510	states/eV/atom
final energy	-3.838	eV per atom

---

No. 4
Here is a geometry-optimized KBiN structure from Alexandria via LeMat-Bulk. Energies are from PBE.

The structure in CIF format:
```
data_KBiN
_chemical_formula_sum 'K2 Bi2 N2'
_symmetry_space_group_name_H-M 'P -1'
_symmetry_Int_Tables_number 2
_cell_length_a 4.592
_cell_length_b 4.887
_cell_length_c 10.388
_cell_angle_alpha 98.52
_cell_angle_beta 98.41
_cell_angle_gamma 91.64
loop_
_symmetry_equiv_pos_as_xyz
'x,y,z'
'-x,-y,-z'
loop_
_atom_site_label
_atom_site_fract_x
_atom_site_fract_y
_atom_site_fract_z
_atom_site_occupancy
K1 0.139 0.118 0.223 1
Bi1 0.260 0.711 0.495 1
N1 0.390 0.978 0.964 1
```

Calculated values
magnetization	0.633	μB per cell
Fermi-level density of states	0.406	states/eV/atom
final energy	-4.583	eV per atom